Entry 1:
# Ba2HgBr6

An optimized crystal structure of Ba2HgBr6 (PBE, Alexandria).

Values from the calculation:
E_tot ... -3.175 eV per atom

```
Ba2HgBr6
1.0
7.332 0.000 0.000
0.000 8.694 0.000
-7.020 0.000 10.060
Ba Hg Br
4 2 12
Cartesian
-0.250 1.006 2.561 Ba
-3.760 3.341 7.591 Ba
4.072 5.353 2.469 Ba
0.562 7.688 7.499 Ba
3.666 0.000 0.000 Hg
0.156 4.347 5.030 Hg
-5.841 1.462 9.495 Br
-2.331 2.885 4.465 Br
-4.544 5.945 9.524 Br
-1.034 7.096 4.494 Br
-2.632 0.205 7.497 Br
0.878 4.142 2.467 Br
-0.566 4.552 7.594 Br
2.944 8.489 2.564 Br
1.345 1.598 5.566 Br
4.855 2.749 0.536 Br
2.643 5.809 5.596 Br
6.153 7.232 0.565 Br
```

=====

Entry 2:
# SmTmTlAu

An optimized crystal structure of SmTmTlAu (PBE, Alexandria).

Values from the calculation:
Formation energy ... -0.61 eV per atom
E_tot ... -4.315 eV per atom

```
SmTmTlAu
1.0
3.633 0.000 0.000
0.000 3.633 0.000
0.000 0.000 7.763
Sm Tm Tl Au
1 1 1 1
Cartesian
0.000 0.000 0.000 Sm
0.000 0.000 3.567 Tm
1.817 1.817 5.619 Tl
1.817 1.817 2.010 Au
```

=====

Entry 3:
# TlNi2Cl

An optimized crystal structure of TlNi2Cl (PBE, Alexandria).

Values from the calculation:
E_tot ... -3.869 eV per atom

```
TlNi2Cl
1.0
4.630 -1.575 0.000
4.630 1.575 0.000
-4.331 0.000 5.448
Tl Ni Cl
1 2 1
Cartesian
0.000 0.000 0.000 Tl
2.496 0.000 0.891 Ni
2.432 0.000 4.557 Ni
-2.166 0.000 2.724 Cl
```

=====

Entry 4:
# RbHg3Pt

An optimized crystal structure of RbHg3Pt (PBE, Alexandria).

Values from the calculation:
Formation energy ... -0.03 eV per atom
E_tot ... -1.614 eV per atom

```
RbHg3Pt
1.0
3.442 0.000 0.000
0.000 3.117 6.516
0.000 -3.117 6.516
Rb Hg Pt
1 3 1
Cartesian
0.000 0.000 0.000 Rb
0.000 -1.582 3.360 Hg
0.000 1.582 3.360 Hg
1.721 0.000 7.674 Hg
1.721 0.000 4.938 Pt
```